(1)
# Nb2AgF2 (PBE, optimized geometry)
data_Nb2AgF2
_chemical_formula_sum 'Nb4 Ag2 F4'
_space_group_name_H-M_alt 'P 1'
_space_group_IT_number 1
_cell_length_a 8.2230
_cell_length_b 8.2230
_cell_length_c 2.6675
_cell_angle_alpha 90.00
_cell_angle_beta 90.00
_cell_angle_gamma 90.00
loop_
_space_group_symop_operation_xyz
'x,y,z'
loop_
_atom_site_label
_atom_site_type_symbol
_atom_site_fract_x
_atom_site_fract_y
_atom_site_fract_z
_atom_site_occupancy
Nb1 Nb 0.3855 0.8855 0.0000 1
Nb2 Nb 0.8855 0.6145 0.0000 1
Nb3 Nb 0.6145 0.1145 0.0000 1
Nb4 Nb 0.1145 0.3855 0.0000 1
Ag1 Ag 0.0000 0.0000 0.0000 1
Ag2 Ag 0.5000 0.5000 0.0000 1
F1 F 0.2395 0.7395 0.5000 1
F2 F 0.7395 0.7605 0.5000 1
F3 F 0.7605 0.2605 0.5000 1
F4 F 0.2605 0.2395 0.5000 1
# Space group: No. 127
# Total moment: 0.957 Bohr magnetons per cell
# Excess energy over the best structure of this formula in the dataset: 0.626 eV/atom

(2)
# NbAg6F12 (PBE, optimized geometry)
data_NbAg6F12
_chemical_formula_sum 'Nb1 Ag6 F12'
_space_group_name_H-M_alt 'P 1'
_space_group_IT_number 1
_cell_length_a 6.9473
_cell_length_b 6.9473
_cell_length_c 6.9473
_cell_angle_alpha 98.04
_cell_angle_beta 98.04
_cell_angle_gamma 98.04
loop_
_space_group_symop_operation_xyz
'x,y,z'
loop_
_atom_site_label
_atom_site_type_symbol
_atom_site_fract_x
_atom_site_fract_y
_atom_site_fract_z
_atom_site_occupancy
Nb1 Nb 0.0000 0.0000 0.0000 1
Ag1 Ag 0.1513 0.3369 0.6015 1
Ag2 Ag 0.6631 0.3985 0.8487 1
Ag3 Ag 0.3985 0.8487 0.6631 1
Ag4 Ag 0.8487 0.6631 0.3985 1
Ag5 Ag 0.3369 0.6015 0.1513 1
Ag6 Ag 0.6015 0.1513 0.3369 1
F1 F 0.4025 0.1636 0.6070 1
F2 F 0.1636 0.6070 0.4025 1
F3 F 0.6070 0.4025 0.1636 1
F4 F 0.5975 0.8364 0.3930 1
F5 F 0.8364 0.3930 0.5975 1
F6 F 0.3930 0.5975 0.8364 1
F7 F 0.0195 0.9297 0.7235 1
F8 F 0.2765 0.9805 0.0703 1
F9 F 0.0703 0.2765 0.9805 1
F10 F 0.9805 0.0703 0.2765 1
F11 F 0.7235 0.0195 0.9297 1
F12 F 0.9297 0.7235 0.0195 1
# DFT total energy: -81.3 eV per cell
# Space group: No. 148
# Total moment: 0.000 Bohr magnetons per cell

(3)
# NbAg2F (PBE, optimized geometry)
data_NbAg2F
_chemical_formula_sum 'Nb2 Ag4 F2'
_space_group_name_H-M_alt 'P 1'
_space_group_IT_number 1
_cell_length_a 7.4975
_cell_length_b 7.4975
_cell_length_c 5.8570
_cell_angle_alpha 50.20
_cell_angle_beta 50.20
_cell_angle_gamma 90.00
loop_
_space_group_symop_operation_xyz
'x,y,z'
loop_
_atom_site_label
_atom_site_type_symbol
_atom_site_fract_x
_atom_site_fract_y
_atom_site_fract_z
_atom_site_occupancy
Nb1 Nb 0.0000 0.0000 0.0000 1
Nb2 Nb 0.7500 0.2500 0.5000 1
Ag1 Ag 0.5790 0.1250 0.2500 1
Ag2 Ag 0.1710 0.6250 0.2500 1
Ag3 Ag 0.3750 0.4210 0.7500 1
Ag4 Ag 0.8750 0.8290 0.7500 1
F1 F 0.5000 0.5000 0.0000 1
F2 F 0.2500 0.7500 0.5000 1
# Space group: No. 122
# Total moment: 3.940 Bohr magnetons per cell
# Excess energy over the best structure of this formula in the dataset: 0.000 eV/atom

(4)
# NbAg2F (PBE, optimized geometry)
data_NbAg2F
_chemical_formula_sum 'Nb1 Ag2 F1'
_space_group_name_H-M_alt 'P 1'
_space_group_IT_number 1
_cell_length_a 4.5891
_cell_length_b 4.5891
_cell_length_c 4.5891
_cell_angle_alpha 60.00
_cell_angle_beta 60.00
_cell_angle_gamma 60.00
loop_
_space_group_symop_operation_xyz
'x,y,z'
loop_
_atom_site_label
_atom_site_type_symbol
_atom_site_fract_x
_atom_site_fract_y
_atom_site_fract_z
_atom_site_occupancy
Nb1 Nb 0.5000 0.5000 0.5000 1
Ag1 Ag 0.2500 0.2500 0.2500 1
Ag2 Ag 0.7500 0.7500 0.7500 1
F1 F 0.0000 0.0000 0.0000 1
# Space group: No. 225
# Total moment: 0.000 Bohr magnetons per cell
# Excess energy over the best structure of this formula in the dataset: 0.270 eV/atom

(5)
# Nb2AgF2 (PBE, optimized geometry)
data_Nb2AgF2
_chemical_formula_sum 'Nb2 Ag1 F2'
_space_group_name_H-M_alt 'P 1'
_space_group_IT_number 1
_cell_length_a 3.5080
_cell_length_b 3.5080
_cell_length_c 6.3928
_cell_angle_alpha 74.08
_cell_angle_beta 74.08
_cell_angle_gamma 90.00
loop_
_space_group_symop_operation_xyz
'x,y,z'
loop_
_atom_site_label
_atom_site_type_symbol
_atom_site_fract_x
_atom_site_fract_y
_atom_site_fract_z
_atom_site_occupancy
Nb1 Nb 0.3828 0.3828 0.2343 1
Nb2 Nb 0.6172 0.6172 0.7657 1
Ag1 Ag 0.0000 0.0000 0.0000 1
F1 F 0.7500 0.2500 0.5000 1
F2 F 0.2500 0.7500 0.5000 1
# Space group: No. 139
# Total moment: 0.000 Bohr magnetons per cell
# Excess energy over the best structure of this formula in the dataset: 0.000 eV/atom

(6)
# Nb3AgF (PBE, optimized geometry)
data_Nb3AgF
_chemical_formula_sum 'Nb3 Ag1 F1'
_space_group_name_H-M_alt 'P 1'
_space_group_IT_number 1
_cell_length_a 4.3452
_cell_length_b 4.3452
_cell_length_c 4.3452
_cell_angle_alpha 90.00
_cell_angle_beta 90.00
_cell_angle_gamma 90.00
loop_
_space_group_symop_operation_xyz
'x,y,z'
loop_
_atom_site_label
_atom_site_type_symbol
_atom_site_fract_x
_atom_site_fract_y
_atom_site_fract_z
_atom_site_occupancy
Nb1 Nb 0.0000 0.5000 0.0000 1
Nb2 Nb 0.0000 0.0000 0.5000 1
Nb3 Nb 0.5000 0.0000 0.0000 1
Ag1 Ag 0.5000 0.5000 0.5000 1
F1 F 0.0000 0.0000 0.0000 1
# Space group: No. 221
# Total moment: 0.000 Bohr magnetons per cell
# Excess energy over the best structure of this formula in the dataset: 0.000 eV/atom